[1]
Density functional theory data (PBE-GGA) for a relaxed structure of ZrPt3.

Cell and atoms, written as extended XYZ:
```
8
Lattice="-2.019 2.019 8.196 2.019 -2.019 8.196 2.019 2.019 -8.196" Properties=species:S:1:pos:R:3 pbc="T T T"
Zr 0.000 0.000 2.093
Zr 0.000 0.000 14.299
Pt 2.019 0.000 0.000
Pt 2.019 0.000 4.098
Pt 0.000 0.000 6.200
Pt 0.000 2.019 0.000
Pt 0.000 0.000 10.192
Pt 0.000 2.019 4.098
```

Values from the calculation:
As for the symmetry: No. 139. The calculation puts the formation enthalpy at 0 K at -97 kJ/mol of atoms.

[2]
Density functional theory data (PBE-GGA) for a relaxed structure of LiCo4Se8.

Cell and atoms, written as extended XYZ:
```
13
Lattice="0.000 5.020 5.020 5.020 0.000 5.020 5.020 5.020 0.000" Properties=species:S:1:pos:R:3 pbc="T T T"
Li 0.000 0.000 0.000
Co 3.773 3.773 3.773
Co 6.267 6.267 3.773
Co 6.267 3.773 6.267
Co 3.773 6.267 6.267
Se 1.399 1.399 1.399
Se 3.621 3.621 1.399
Se 3.621 1.399 3.621
Se 6.146 3.893 3.893
Se 1.399 3.621 3.621
Se 3.893 6.146 3.893
Se 3.893 3.893 6.146
Se 6.146 6.146 6.146
```

Values from the calculation:
As for the symmetry: No. 216. The formation energy from raw total energies is -34 kJ per mole of atoms.

[3]
Density functional theory data (PBE-GGA) for a relaxed structure of Li2NiRu.

Cell and atoms, written as extended XYZ:
```
4
Lattice="-1.277 2.208 4.452 1.277 -2.208 4.452 1.277 2.208 -4.452" Properties=species:S:1:pos:R:3 pbc="T T T"
Li 0.000 0.000 2.108
Li 0.000 0.000 6.796
Ni 1.277 0.000 0.000
Ru 0.000 2.208 0.000
```

Values from the calculation:
As for the symmetry: No. 71. The calculation puts the formation enthalpy at 0 K at 6 kJ/mol of atoms.

[4]
Density functional theory data (PBE-GGA) for a relaxed structure of BaNiCl2.

Cell and atoms, written as extended XYZ:
```
8
Lattice="-2.769 2.769 7.048 2.769 -2.769 7.048 2.769 2.769 -7.048" Properties=species:S:1:pos:R:3 pbc="T T T"
Ba 0.000 0.000 0.000
Ba 0.000 2.769 3.524
Ni 2.769 0.000 3.524
Ni 0.000 0.000 7.048
Cl 1.384 -0.786 5.286
Cl 1.983 1.384 1.762
Cl 1.384 3.554 -1.762
Cl 0.786 1.384 8.810
```

Values from the calculation:
As for the symmetry: No. 122. The formation energy from raw total energies is -96 kJ per mole of atoms.

[5]
Density functional theory data (PBE-GGA) for a relaxed structure of BaBiAsC2.

Cell and atoms, written as extended XYZ:
```
5
Lattice="4.640 0.000 0.000 0.000 4.640 0.000 0.000 0.000 7.687" Properties=species:S:1:pos:R:3 pbc="T T T"
Ba 0.000 0.000 0.000
Bi 0.000 0.000 3.844
As 2.320 2.320 0.000
C 0.000 2.320 3.844
C 2.320 0.000 3.844
```

Values from the calculation:
As for the symmetry: No. 123. The calculation puts the formation enthalpy at 0 K at 196 kJ/mol of atoms.

[6]
Density functional theory data (PBE-GGA) for a relaxed structure of ZrSnI6.

Cell and atoms, written as extended XYZ:
```
8
Lattice="3.754 -6.925 0.000 3.754 6.925 0.000 -2.307 0.000 7.151" Properties=species:S:1:pos:R:3 pbc="T T T"
Zr 0.000 0.000 0.000
Sn 2.601 0.000 3.575
I 1.195 2.057 1.649
I 0.016 0.000 5.470
I 1.195 -2.057 1.649
I 4.007 2.057 5.502
I 5.185 0.000 1.681
I 4.007 -2.057 5.502
```

Values from the calculation:
As for the symmetry: No. 12. The formation energy from raw total energies is -69 kJ per mole of atoms.